Record 1
# TbPm7Pr2, optimized geometry, DFT GGA-PBE
# formation enthalpy at 0 K: 0.1471 eV/atom
# raw total energy: -91.94 eV per cell
# energy relative to the lowest polymorph listed for this composition: 0.00 eV per formula unit
# DOS(E_F): 1.539 states/eV per atom
data_TbPm7Pr2
_symmetry_space_group_name_H-M 'C m m m'
_symmetry_Int_Tables_number 65
_symmetry_space_group_name_Hall '-C 2 2'
_cell_length_a 6.749
_cell_length_b 29.493
_cell_length_c 3.500
_cell_angle_alpha 90.00
_cell_angle_beta 90.00
_cell_angle_gamma 90.00
loop_
_atom_site_label
_atom_site_type_symbol
_atom_site_fract_x
_atom_site_fract_y
_atom_site_fract_z
Tb1 Tb 0.000 0.000 0.000
Pm1 Pm 0.000 0.188 0.000
Pm2 Pm 0.000 0.500 0.500
Pm3 Pm 0.244 0.098 0.500
Pr1 Pr 0.000 0.296 0.500

***

Record 2
# SrInRu2O8, optimized geometry, DFT GGA-PBE
# raw total energy: -76.87 eV per cell
# uncorrected formation energy: -1186 meV per atom
# DOS(E_F): 0.409 states/eV per atom
data_SrInRu2O8
_symmetry_space_group_name_H-M 'P -3'
_symmetry_Int_Tables_number 147
_symmetry_space_group_name_Hall '-P 3'
_cell_length_a 5.7185
_cell_length_b 5.7185
_cell_length_c 7.2388
_cell_angle_alpha 90.00
_cell_angle_beta 90.00
_cell_angle_gamma 120.00
loop_
_atom_site_label
_atom_site_type_symbol
_atom_site_fract_x
_atom_site_fract_y
_atom_site_fract_z
Sr1 Sr 0.0000 0.0000 0.0000
In1 In 0.0000 0.0000 0.5000
Ru1 Ru 0.3333 0.6667 0.7638
O1 O 0.0944 0.3146 0.7058
O2 O 0.3333 0.6667 0.0096

***

Record 3
# HoCoC2, optimized geometry, DFT GGA-PBE
# formation enthalpy at 0 K: -0.3532 eV/atom
# raw total energy: -63.09 eV per cell
# DOS(E_F): 0.384 states/eV per atom
data_HoCoC2
_symmetry_space_group_name_H-M 'A m m 2'
_symmetry_Int_Tables_number 38
_symmetry_space_group_name_Hall 'A 2 -2'
_cell_length_a 3.552
_cell_length_b 4.501
_cell_length_c 5.974
_cell_angle_alpha 90.00
_cell_angle_beta 90.00
_cell_angle_gamma 90.00
loop_
_atom_site_label
_atom_site_type_symbol
_atom_site_fract_x
_atom_site_fract_y
_atom_site_fract_z
Ho1 Ho 0.000 0.000 0.000
Co1 Co 0.500 0.000 0.382
C1 C 0.500 0.153 0.694

***

Record 4
# LiTb2ScS4, optimized geometry, DFT GGA-PBE
# raw total energy: -49.22 eV per cell
# uncorrected formation energy: -1901 meV per atom
# DOS(E_F): 0.348 states/eV per atom
data_LiTb2ScS4
_symmetry_space_group_name_H-M 'P 1 2/m 1'
_symmetry_Int_Tables_number 10
_symmetry_space_group_name_Hall '-P 2y'
_cell_length_a 6.560
_cell_length_b 3.831
_cell_length_c 6.665
_cell_angle_alpha 90.00
_cell_angle_beta 109.54
_cell_angle_gamma 90.00
loop_
_atom_site_label
_atom_site_type_symbol
_atom_site_fract_x
_atom_site_fract_y
_atom_site_fract_z
Li1 Li 0.000 0.000 0.000
Tb1 Tb 0.500 0.000 0.500
Tb2 Tb 0.500 0.500 0.000
Sc1 Sc 0.000 0.500 0.500
S1 S 0.233 0.000 0.745
S2 S 0.235 0.500 0.246

***

Record 5
# HfBeTe, optimized geometry, DFT GGA-PBE
# raw total energy: -35.25 eV per cell
# energy relative to the lowest polymorph listed for this composition: 0.96 eV per formula unit
# uncorrected formation energy: -268 meV per atom
# DOS(E_F): 0.461 states/eV per atom
data_HfBeTe
_symmetry_space_group_name_H-M 'P 1'
_symmetry_Int_Tables_number 1
_symmetry_space_group_name_Hall 'P 1'
_cell_length_a 3.697
_cell_length_b 3.728
_cell_length_c 9.273
_cell_angle_alpha 91.46
_cell_angle_beta 101.39
_cell_angle_gamma 90.01
loop_
_atom_site_label
_atom_site_type_symbol
_atom_site_fract_x
_atom_site_fract_y
_atom_site_fract_z
Hf1 Hf 0.000 0.000 0.000
Hf2 Hf 0.398 0.483 0.794
Be1 Be 0.794 0.454 0.583
Be2 Be 0.862 0.957 0.722
Te1 Te 0.259 0.026 0.511
Te2 Te 0.569 0.509 0.139

***

Record 6
# SrMgCd4, optimized geometry, DFT GGA-PBE
# formation enthalpy at 0 K: -0.1747 eV/atom
# raw total energy: -31.94 eV per cell
# energy relative to the lowest polymorph listed for this composition: 0.00 eV per formula unit
# DOS(E_F): 0.472 states/eV per atom
data_SrMgCd4
_symmetry_space_group_name_H-M 'C m c m'
_symmetry_Int_Tables_number 63
_symmetry_space_group_name_Hall '-C 2c 2'
_cell_length_a 4.663
_cell_length_b 18.507
_cell_length_c 7.365
_cell_angle_alpha 90.00
_cell_angle_beta 90.00
_cell_angle_gamma 90.00
loop_
_atom_site_label
_atom_site_type_symbol
_atom_site_fract_x
_atom_site_fract_y
_atom_site_fract_z
Sr1 Sr 0.000 0.114 0.250
Mg1 Mg 0.000 0.233 0.750
Cd1 Cd 0.000 0.071 0.750
Cd2 Cd 0.000 0.334 0.053
Cd3 Cd 0.000 0.500 0.000